Arrangement 1

ReTcAs at its PBEsol-relaxed geometry, computed with meta-GGA SCAN.

Cell: 4.072 4.072 4.072 Å, 60.00 60.00 60.00°
Element x y z (fractional)
As1 0.750 0.750 0.750
Tc1 0.500 0.500 0.500
Re1 0.000 0.000 0.000

Calculated values
- N(E_F): 3.4 states/eV per cell
- Symmetry: F-43m, No. 216

Arrangement 2

ReTcAs at its PBEsol-relaxed geometry, computed with meta-GGA SCAN.

Cell: 2.817 4.217 4.217 Å, 120.00 90.00 90.00°
Element x y z (fractional)
Re1 0.833 0.333 0.667
As1 0.833 0.000 0.000
Tc1 0.334 0.667 0.333

Calculated values
- N(E_F): 2.4 states/eV per cell
- Symmetry: P-6m2, No. 187

Name the most stable of them. arrangement 2.

Arrangement 1

Tl2ReAs at its PBEsol-relaxed geometry, computed with meta-GGA SCAN.

Cell: 4.842 4.842 4.842 Å, 60.00 60.00 60.00°
Element x y z (fractional)
Re1 0.500 0.500 0.500
As1 0.000 0.000 0.000
Tl1 0.250 0.250 0.250
Tl2 0.750 0.750 0.750

Calculated values
- N(E_F): 3.0 states/eV per cell
- Symmetry: Fm-3m, No. 225

Arrangement 2

Tl2ReAs at its PBEsol-relaxed geometry, computed with meta-GGA SCAN.

Cell: 3.123 5.055 5.769 Å, 107.35 105.70 90.00°
Site moments in Bohr magnetons follow the coordinates.
Element x y z (fractional)
As1 0.445 0.486 0.890  -0.02
Re1 0.782 0.226 0.564  0.46
Tl1 0.237 0.716 0.474  0.00
Tl2 0.036 0.072 0.072  -0.01

Calculated values
- N(E_F): 1.8 states/eV per cell
- Symmetry: Cm, No. 8

Arrangement 3

Tl2ReAs at its PBEsol-relaxed geometry, computed with meta-GGA SCAN.

Cell: 3.126 3.126 8.635 Å, 90.00 90.00 90.00°
Element x y z (fractional)
As1 0.000 0.000 0.566
Tl1 0.000 0.000 0.952
Tl2 0.500 0.500 0.272
Re1 0.500 0.500 0.710

Calculated values
- N(E_F): 2.1 states/eV per cell
- Symmetry: P4mm, No. 99

Name the most stable of them. arrangement 3.

Arrangement 1

TlRe2As at its PBEsol-relaxed geometry, computed with meta-GGA SCAN.

Cell: 2.968 2.968 8.689 Å, 90.00 90.00 118.49°
Element x y z (fractional)
Re1 0.000 0.000 0.779
Re2 0.000 0.000 0.221
As1 0.500 0.500 0.000
Tl1 0.500 0.500 0.500

Calculated values
- N(E_F): 3.4 states/eV per cell
- Symmetry: Cmmm, No. 65

Arrangement 2

TlRe2As at its PBEsol-relaxed geometry, computed with meta-GGA SCAN.

Cell: 3.191 4.482 4.482 Å, 90.00 90.00 90.00°
Element x y z (fractional)
As1 0.500 0.000 0.000
Re1 0.000 0.500 0.000
Re2 0.000 0.000 0.500
Tl1 0.500 0.500 0.500

Calculated values
- N(E_F): 2.9 states/eV per cell
- Symmetry: P4/mmm, No. 123

Arrangement 3

TlRe2As at its PBEsol-relaxed geometry, computed with meta-GGA SCAN.

Cell: 4.490 4.490 4.490 Å, 60.00 60.00 60.00°
Element x y z (fractional)
Re1 0.750 0.750 0.750
Re2 0.250 0.250 0.250
As1 0.000 0.000 0.000
Tl1 0.500 0.500 0.500

Calculated values
- N(E_F): 3.1 states/eV per cell
- Symmetry: Fm-3m, No. 225

Name the most stable of them. arrangement 1.

Arrangement 1

YReAs at its PBEsol-relaxed geometry, computed with meta-GGA SCAN.

Cell: 3.477 3.477 5.711 Å, 90.00 90.00 120.00°
Element x y z (fractional)
Y1 0.667 0.333 0.319
As1 0.000 0.000 0.965
Re1 0.333 0.667 0.717

Calculated values
- N(E_F): 1.1 states/eV per cell
- Symmetry: P3m1, No. 156

Arrangement 2

YReAs at its PBEsol-relaxed geometry, computed with meta-GGA SCAN.

Cell: 3.599 4.293 4.293 Å, 120.00 90.00 90.00°
Element x y z (fractional)
Re1 0.000 0.333 0.667
As1 0.000 0.000 0.000
Y1 0.500 0.667 0.333

Calculated values
- N(E_F): 1.7 states/eV per cell
- Symmetry: P-6m2, No. 187

Name the most stable of them. arrangement 2.

Arrangement 1

As2RuRh at its PBEsol-relaxed geometry, computed with meta-GGA SCAN.

Cell: 2.966 2.966 7.805 Å, 79.05 79.05 60.00°
Element x y z (fractional)
As1 0.749 0.749 0.753
As2 0.251 0.251 0.247
Rh1 0.500 0.500 0.500
Ru1 0.000 0.000 0.000

Calculated values
- N(E_F): 1.8 states/eV per cell
- Symmetry: R-3m, No. 166

Arrangement 2

As2RuRh at its PBEsol-relaxed geometry, computed with meta-GGA SCAN.

Cell: 4.206 4.391 4.206 Å, 61.38 90.00 118.62°
Element x y z (fractional)
Ru1 0.000 0.000 0.000
As1 0.750 0.500 0.750
As2 0.250 0.500 0.250
Rh1 0.500 0.000 0.500

Calculated values
- N(E_F): 3.6 states/eV per cell
- Symmetry: I4/mmm, No. 139

Name the most stable of them. arrangement 1.

Arrangement 1

TeAsRh2 at its PBEsol-relaxed geometry, computed with meta-GGA SCAN.

Cell: 3.254 4.484 4.484 Å, 90.00 90.00 90.00°
Element x y z (fractional)
Te1 0.500 0.500 0.500
As1 0.500 0.000 0.000
Rh1 0.000 0.000 0.500
Rh2 0.000 0.500 0.000

Calculated values
- N(E_F): 3.0 states/eV per cell
- Symmetry: P4/mmm, No. 123

Arrangement 2

TeAsRh2 at its PBEsol-relaxed geometry, computed with meta-GGA SCAN.

Cell: 3.420 4.379 5.365 Å, 98.35 90.00 112.99°
Element x y z (fractional)
As1 0.723 0.446 0.080
Rh1 0.017 0.035 0.123
Rh2 0.246 0.492 0.768
Te1 0.514 0.028 0.529

Calculated values
- N(E_F): 1.9 states/eV per cell
- Symmetry: Cm, No. 8

Name the most stable of them. arrangement 2.

Arrangement 1

TeAsRh2 at its PBEsol-relaxed geometry, computed with meta-GGA SCAN.

Cell: 3.261 4.404 5.439 Å, 113.88 107.44 90.00°
Element x y z (fractional)
Rh1 0.764 0.264 0.529
Rh2 0.972 0.972 0.943
Te1 0.496 0.496 0.992
As1 0.268 0.768 0.536

Calculated values
- N(E_F): 2.7 states/eV per cell
- Symmetry: Imm2, No. 44

Arrangement 2

TeAsRh2 at its PBEsol-relaxed geometry, computed with meta-GGA SCAN.

Cell: 3.943 3.943 5.436 Å, 90.00 90.00 90.00°
Element x y z (fractional)
Rh1 0.000 0.500 0.112
Rh2 0.500 0.000 0.112
As1 0.500 0.500 0.859
Te1 0.000 0.000 0.416

Calculated values
- N(E_F): 0.9 states/eV per cell
- Symmetry: P4mm, No. 99

Name the most stable of them. arrangement 2.

Arrangement 1

Tl2AsRh at its PBEsol-relaxed geometry, computed with meta-GGA SCAN.

Cell: 4.851 4.851 4.851 Å, 60.00 60.00 60.00°
Element x y z (fractional)
Tl1 0.750 0.750 0.750
Tl2 0.000 0.000 0.000
As1 0.500 0.500 0.500
Rh1 0.250 0.250 0.250

Calculated values
- N(E_F): 1.9 states/eV per cell
- Symmetry: F-43m, No. 216

Arrangement 2

Tl2AsRh at its PBEsol-relaxed geometry, computed with meta-GGA SCAN.

Cell: 3.279 3.279 9.075 Å, 79.59 79.59 60.00°
Element x y z (fractional)
Tl1 0.258 0.258 0.225
Tl2 0.742 0.742 0.775
As1 0.500 0.500 0.500
Rh1 0.000 0.000 0.000

Calculated values
- N(E_F): 2.9 states/eV per cell
- Symmetry: R-3m, No. 166

Name the most stable of them. arrangement 2.